1.
The following is a GGA-PBE calculation of Y2AgSnSe after structural relaxation, from Alexandria via LeMat-Bulk.

Lattice parameters (Å, degrees): 5.621 4.893 5.621 90.00 90.00 90.00
Element x y z (fractional)
1 Y 0.000 0.000 0.500
2 Y 0.500 0.000 0.000
3 Sn 0.000 0.500 0.000
4 Ag 0.000 0.000 0.000
5 Se 0.500 0.500 0.500

Calculated values
The density of states at the Fermi level is 1.06 states/eV per atom. For the uncorrected formation energy, the calculation gives -0.03 eV/atom. The space group is P4/mmm, No. 123. The calculation puts the spin magnetization at 0.00 μB per formula unit.

2.
The following is a GGA-PBE calculation of YAg2SnSe4 after structural relaxation, from Alexandria via LeMat-Bulk.

Lattice parameters (Å, degrees): 4.124 6.919 7.188 69.97 90.00 90.00
Element x y z (fractional)
1 Ag 0.000 0.000 0.000
2 Ag 0.500 0.000 0.500
3 Se 0.000 0.755 0.748
4 Se 0.500 0.252 0.750
5 Se 0.500 0.748 0.250
6 Se 0.000 0.245 0.252
7 Y 0.000 0.500 0.500
8 Sn 0.500 0.500 0.000

Calculated values
The density of states at the Fermi level is 0.16 states/eV per atom. For the uncorrected formation energy, the calculation gives -0.72 eV/atom. The space group is P2/m, No. 10. The calculation puts the spin magnetization at 0.00 μB per formula unit.

3.
The following is a GGA-PBE calculation of ZnAg2SnSe4 after structural relaxation, from Alexandria via LeMat-Bulk.

Lattice parameters (Å, degrees): 7.558 7.558 7.558 134.32 134.32 66.58
Element x y z (fractional)
1 Ag 0.750 0.250 0.500
2 Ag 0.250 0.750 0.500
3 Se 0.876 0.876 0.514
4 Se 0.124 0.638 0.000
5 Se 0.362 0.362 0.486
6 Se 0.638 0.124 0.000
7 Sn 0.500 0.500 0.000
8 Zn 0.000 0.000 0.000

Calculated values
The density of states at the Fermi level is 0.13 states/eV per atom. For the uncorrected formation energy, the calculation gives -0.35 eV/atom. The space group is I-42m, No. 121. The calculation puts the spin magnetization at 0.00 μB per formula unit.

Number 1: final energy -4.68 eV/atom. Number 2: final energy -4.48 eV/atom. Number 3: final energy -3.46 eV/atom.